# 1
# K3Be5 GGA-PBE relaxed
data_K3Be5
_chemical_formula_sum 'K6 Be10'
_cell_length_a 11.182
_cell_length_b 11.182
_cell_length_c 3.875
_cell_angle_alpha 90.00
_cell_angle_beta 90.00
_cell_angle_gamma 120.00
_symmetry_space_group_name_H-M 'P 1'
_symmetry_Int_Tables_number 1
_symmetry_space_group_name_Hall 'P 1'
loop_
_atom_site_label
_atom_site_fract_x
_atom_site_fract_y
_atom_site_fract_z
Be1 0.333 0.667 0.000
Be2 0.667 0.333 0.500
Be3 0.667 0.333 0.000
Be4 0.333 0.667 0.500
Be5 0.109 0.000 0.250
Be6 0.891 0.000 0.750
Be7 0.000 0.109 0.250
Be8 0.891 0.891 0.250
Be9 0.109 0.109 0.750
Be10 0.000 0.891 0.750
K1 0.645 0.000 0.250
K2 0.355 0.000 0.750
K3 0.000 0.645 0.250
K4 0.355 0.355 0.250
K5 0.645 0.645 0.750
K6 0.000 0.355 0.750
# Raw total energy in eV per atom: -2.06
# Space group: P6_3/mcm, No. 193
# Formation energy from the elements in eV per atom: 0.68

=====

# 2
# Cd3OsS GGA-PBE relaxed
data_Cd3OsS
_chemical_formula_sum 'Cd3 Os1 S1'
_cell_length_a 5.223
_cell_length_b 5.223
_cell_length_c 5.223
_cell_angle_alpha 90.00
_cell_angle_beta 90.00
_cell_angle_gamma 90.00
_symmetry_space_group_name_H-M 'P 1'
_symmetry_Int_Tables_number 1
_symmetry_space_group_name_Hall 'P 1'
loop_
_atom_site_label
_atom_site_fract_x
_atom_site_fract_y
_atom_site_fract_z
S1 0.500 0.500 0.500
Os1 0.000 0.000 0.000
Cd1 0.000 0.500 0.000
Cd2 0.000 0.000 0.500
Cd3 0.500 0.000 0.000
# Raw total energy in eV per atom: -2.56
# Energy above the lowest structure with this stoichiometry in meV/atom: 0
# Space group: Pm-3m, No. 221

=====

# 3
# KNbI6 GGA-PBE relaxed
data_KNbI6
_chemical_formula_sum 'K1 Nb1 I6'
_cell_length_a 7.457
_cell_length_b 9.697
_cell_length_c 7.479
_cell_angle_alpha 113.01
_cell_angle_beta 99.43
_cell_angle_gamma 121.09
_symmetry_space_group_name_H-M 'P 1'
_symmetry_Int_Tables_number 1
_symmetry_space_group_name_Hall 'P 1'
loop_
_atom_site_label
_atom_site_fract_x
_atom_site_fract_y
_atom_site_fract_z
K1 0.000 0.000 0.000
Nb1 0.000 0.500 0.000
I1 0.877 0.153 0.672
I2 0.205 0.481 0.328
I3 0.795 0.519 0.672
I4 0.123 0.847 0.328
I5 0.429 0.708 0.000
I6 0.571 0.292 0.000
# Raw total energy in eV per atom: -3.20
# Energy above the lowest structure with this stoichiometry in meV/atom: 7
# Space group: C2/m, No. 12

=====

# 4
# Ba2UTlS6 GGA-PBE relaxed
data_Ba2UTlS6
_chemical_formula_sum 'Ba2 U1 Tl1 S6'
_cell_length_a 7.554
_cell_length_b 7.255
_cell_length_c 7.273
_cell_angle_alpha 119.92
_cell_angle_beta 119.31
_cell_angle_gamma 90.00
_symmetry_space_group_name_H-M 'P 1'
_symmetry_Int_Tables_number 1
_symmetry_space_group_name_Hall 'P 1'
loop_
_atom_site_label
_atom_site_fract_x
_atom_site_fract_y
_atom_site_fract_z
Ba1 0.233 0.247 0.494
Ba2 0.767 0.753 0.506
U1 0.000 0.500 0.000
Tl1 0.500 0.000 0.000
S1 0.330 0.732 0.464
S2 0.174 0.197 0.882
S3 0.826 0.315 0.118
S4 0.174 0.685 0.882
S5 0.826 0.803 0.118
S6 0.670 0.268 0.536
# Raw total energy in eV per atom: -5.57
# Space group: C2/m, No. 12

=====

# 5
# Sc2BiAu GGA-PBE relaxed
data_Sc2BiAu
_chemical_formula_sum 'Sc2 Bi1 Au1'
_cell_length_a 9.192
_cell_length_b 9.192
_cell_length_c 9.192
_cell_angle_alpha 25.14
_cell_angle_beta 25.14
_cell_angle_gamma 25.14
_symmetry_space_group_name_H-M 'P 1'
_symmetry_Int_Tables_number 1
_symmetry_space_group_name_Hall 'P 1'
loop_
_atom_site_label
_atom_site_fract_x
_atom_site_fract_y
_atom_site_fract_z
Sc1 0.901 0.901 0.901
Sc2 0.099 0.099 0.099
Au1 0.000 0.000 0.000
Bi1 0.500 0.500 0.500
# Raw total energy in eV per atom: -4.83
# Space group: R-3m, No. 166
# Formation energy from the elements in eV per atom: 0.12

=====

# 6
# AcTh2Tc GGA-PBE relaxed
data_AcTh2Tc
_chemical_formula_sum 'Ac1 Th2 Tc1'
_cell_length_a 3.974
_cell_length_b 3.974
_cell_length_c 10.876
_cell_angle_alpha 79.47
_cell_angle_beta 79.47
_cell_angle_gamma 60.00
_symmetry_space_group_name_H-M 'P 1'
_symmetry_Int_Tables_number 1
_symmetry_space_group_name_Hall 'P 1'
loop_
_atom_site_label
_atom_site_fract_x
_atom_site_fract_y
_atom_site_fract_z
Ac1 0.000 0.000 0.000
Tc1 0.500 0.500 0.500
Th1 0.117 0.117 0.649
Th2 0.883 0.883 0.351
# Raw total energy in eV per atom: -7.11
# Energy above the lowest structure with this stoichiometry in meV/atom: 186
# Space group: R-3m, No. 166
# Formation energy from the elements in eV per atom: 0.22

=====

Which formula does entry 1 have? K3Be5